# 1
The following is a PBE calculation of an optimized crystal structure of MgIn2Pd3, from Alexandria.

Computed properties:
E_form ... -338 kJ/mol of formula units
Excess energy over the best structure of this formula in the dataset ... 1.4 kJ per mole of atoms
V ... 17.38 A^3/atom
Space-group type ... P4/mmm (123)
DOS(E_F) ... 0.3744 states/eV/atom

Cell lengths 3.291, 3.291, 9.626 Å; angles 90.00, 90.00, 90.00 degrees
Element x y z (fractional)
Mg 0.500 0.500 0.500
Pd 0.000 0.000 0.662
In 0.500 0.500 0.171
Pd 0.000 0.000 0.000
In 0.500 0.500 0.829
Pd 0.000 0.000 0.338

# 2
The following is a PBE calculation of an optimized crystal structure of Th3BiC, from Alexandria.

Computed properties:
E_form ... -192 kJ/mol of formula units
Excess energy over the best structure of this formula in the dataset ... 0.0 kJ per mole of atoms
V ... 26.95 A^3/atom
Space-group type ... Pnma (62)
DOS(E_F) ... 0.9514 states/eV/atom

Cell lengths 3.992, 9.049, 14.920 Å; angles 90.00, 90.00, 90.00 degrees
Each line ends with the local moment (μB).
Element x y z (fractional)
Bi 0.750 0.586 0.824  0.00
Th 0.750 0.206 0.301  0.03
Bi 0.250 0.414 0.176  0.00
Bi 0.750 0.086 0.676  0.00
Th 0.750 0.823 0.495  0.03
Th 0.250 0.294 0.801  0.03
Th 0.250 0.177 0.505  0.03
C 0.750 0.842 0.053  0.00
Th 0.250 0.794 0.699  0.03
C 0.250 0.158 0.947  0.00
Th 0.750 0.975 0.900  0.06
Th 0.250 0.025 0.100  0.06
C 0.750 0.342 0.447  0.00
Th 0.250 0.677 0.995  0.03
Th 0.750 0.706 0.199  0.03
C 0.250 0.658 0.553  0.00
Th 0.750 0.475 0.600  0.06
Th 0.750 0.323 0.005  0.03
Th 0.250 0.525 0.400  0.06
Bi 0.250 0.914 0.324  0.00

# 3
The following is a PBE calculation of an optimized crystal structure of CeZn2PdAu2, from Alexandria.

Computed properties:
E_form ... -177 kJ/mol of formula units
V ... 21.38 A^3/atom
Space-group type ... P4/mmm (123)
DOS(E_F) ... 1.4613 states/eV/atom

Cell lengths 4.837, 4.837, 5.481 Å; angles 90.00, 90.00, 90.00 degrees
Each line ends with the local moment (μB).
Element x y z (fractional)
Au 0.500 0.500 0.257  0.00
Zn 0.500 0.000 0.000  0.00
Pd 0.000 0.000 0.000  -0.01
Zn 0.000 0.500 0.000  0.00
Ce 0.000 0.000 0.500  0.92
Au 0.500 0.500 0.743  0.00